Entry 1:
Sr12SnPd6 (PBE, relaxed); formation energy = -0.471 eV/atom; density = 4.57 g/cm3; N(E_F) = 16.3 states/eV/cell; magnetization = 0.000 μB per atom
1.0
-5.4766 5.4766 5.4766
5.4766 -5.4766 5.4766
5.4766 5.4766 -5.4766
Sr Sn Pd
12 1 6
Cartesian
5.4766 -2.1233 3.5063
3.3533 1.9704 0.0000
7.6000 1.9704 0.0000
3.5063 5.4766 -2.1233
1.9704 0.0000 3.3533
0.0000 3.3533 1.9704
5.4766 2.1233 3.5063
3.5063 5.4766 2.1233
1.9704 0.0000 7.6000
-2.1233 3.5063 5.4766
2.1233 3.5063 5.4766
0.0000 7.6000 1.9704
0.0000 0.0000 0.0000
5.4766 0.0000 1.3584
5.4766 4.1182 0.0000
1.3584 5.4766 0.0000
4.1182 0.0000 5.4766
0.0000 1.3584 5.4766
0.0000 5.4766 4.1182

Entry 2:
Sr3Sn4Pd2 (PBE, relaxed); formation energy = -0.640 eV/atom; density = 6.04 g/cm3; N(E_F) = 3.8 states/eV/cell; offset from the most stable computed form = 0.0411 eV per atom; magnetization = 0.000 μB per atom
1.0
6.0919 -2.2736 0.0000
6.0919 2.2736 0.0000
-1.6674 0.0000 9.4321
Sr Sn Pd
3 4 2
Cartesian
0.0000 0.0000 0.0000
3.5814 0.0000 5.7478
6.9349 0.0000 3.6842
0.0520 0.0000 6.2223
2.0535 0.0000 8.6394
8.4629 0.0000 0.7926
10.4643 0.0000 3.2097
3.5496 0.0000 1.9608
6.9668 0.0000 7.4713

Entry 3:
SrSn4Pd6 (PBE, relaxed); formation energy = -0.480 eV/atom; density = 8.27 g/cm3; N(E_F) = 5.8 states/eV/cell; offset from the most stable computed form = 0.1378 eV per atom; magnetization = 0.000 μB per atom
1.0
-3.5259 3.5259 4.8497
3.5259 -3.5259 4.8497
3.5259 3.5259 -4.8497
Sr Sn Pd
1 4 6
Cartesian
0.0000 0.0000 0.0000
1.4469 -1.4469 3.1760
2.0790 2.0790 1.6737
-1.4469 1.4469 3.1760
1.4469 1.4469 6.5233
3.5259 0.0000 0.0000
2.4158 2.4158 -0.9880
1.1101 -1.1101 5.8377
0.0000 3.5259 0.0000
1.1101 1.1101 3.8617
-1.1101 1.1101 5.8377

Entry 4:
Sr3Sn2Pd3 (PBE, relaxed); formation energy = -0.725 eV/atom; density = 6.19 g/cm3; N(E_F) = 13.8 states/eV/cell; offset from the most stable computed form = 0.0000 eV per atom; magnetization = 0.000 μB per atom
1.0
8.3684 0.0000 0.0000
0.0000 16.1218 0.0000
0.0000 0.0000 6.5206
Sr Sn Pd
12 8 12
Cartesian
0.0582 1.6883 0.9719
0.0582 6.3725 0.9719
1.2309 4.0304 3.9615
2.9533 12.0913 0.7012
4.1260 9.7492 4.2322
4.1260 14.4334 4.2322
4.2424 1.6883 2.2884
4.2424 6.3725 2.2884
5.4151 4.0304 5.8194
7.1375 12.0913 2.5591
8.3102 9.7492 5.5487
8.3102 14.4334 5.5487
1.2391 9.6792 2.3642
1.2391 14.5034 2.3642
2.9451 1.6184 5.6246
2.9451 6.4425 5.6246
5.4233 9.6792 0.8961
5.4233 14.5034 0.8961
7.1293 1.6184 4.1564
7.1293 6.4425 4.1564
1.2514 0.6311 3.8472
1.2514 7.4298 3.8472
1.7057 12.0913 3.6931
2.4785 4.0304 0.4328
2.9328 8.6919 0.5869
2.9328 15.4907 0.5869
5.4356 0.6311 5.9338
5.4356 7.4298 5.9338
5.8899 12.0913 6.0879
6.6627 4.0304 2.8276
7.1170 8.6919 2.6734
7.1170 15.4907 2.6734

Entry 5:
SrSnPd (PBE, relaxed); formation energy = -0.729 eV/atom; density = 6.83 g/cm3; N(E_F) = 7.4 states/eV/cell; magnetization = 0.000 μB per atom
1.0
7.7717 0.0000 0.0000
0.0000 4.5320 0.0000
-0.0111 0.0000 12.9509
Sr Sn Pd
6 6 6
Cartesian
0.1028 1.1330 4.8276
1.1467 1.1330 1.0199
3.7118 3.3990 9.1197
4.0488 1.1330 3.8312
6.6138 3.3990 11.9310
7.6578 3.3990 8.1233
1.1281 1.1330 10.3325
2.6006 3.3990 5.8935
3.7523 3.3990 1.1466
4.0083 1.1330 11.8042
5.1599 1.1330 7.0573
6.6325 3.3990 2.6184
1.7525 3.3990 3.1853
2.2114 3.3990 11.7135
2.2552 1.1330 7.3985
5.5053 3.3990 5.5523
5.5492 1.1330 1.2373
6.0081 1.1330 9.7655

Entry 6:
Sr2Sn4Pd5 (PBE, relaxed); formation energy = -0.644 eV/atom; density = 7.54 g/cm3; N(E_F) = 5.6 states/eV/cell; magnetization = 0.000 μB per atom
1.0
0.0000 5.2523 8.1356
3.0465 0.0000 8.1356
3.0465 5.2523 0.0000
Sr Sn Pd
2 4 5
Cartesian
3.0465 5.2523 2.1764
3.0465 5.2523 14.0949
3.0465 3.5724 6.0529
3.0465 3.5724 10.2184
3.0465 6.9321 6.0529
3.0465 6.9321 10.2184
1.5233 2.6261 0.0000
1.5233 2.6261 4.0678
1.5233 2.6261 8.1356
3.0465 5.2523 8.1356
4.5698 7.8784 12.2035

Entry 7:
Sr5SnPd2 (PBE, relaxed); formation energy = -0.574 eV/atom; density = 4.72 g/cm3; N(E_F) = 8.7 states/eV/cell; magnetization = 0.000 μB per atom
1.0
-4.1916 4.1916 7.6979
4.1916 -4.1916 7.6979
4.1916 4.1916 -7.6979
Sr Sn Pd
10 2 4
Cartesian
0.0000 0.0000 0.0000
5.6170 1.4254 -2.1002
1.4254 2.7662 -2.1002
5.6170 1.4254 2.1002
1.4254 2.7662 2.1002
0.0000 0.0000 7.6979
2.7662 1.4254 5.5977
-1.4254 2.7662 5.5977
2.7662 1.4254 9.7982
-1.4254 2.7662 9.7982
0.0000 0.0000 3.8490
0.0000 0.0000 11.5469
3.1791 1.0124 0.0000
3.1791 -1.0124 7.6979
1.0124 5.2040 0.0000
1.0124 3.1791 7.6979

Entry 8:
SrSnPd3 (PBE, relaxed); formation energy = 0.745 eV/atom; density = 6.35 g/cm3; N(E_F) = 2.5 states/eV/cell; offset from the most stable computed form = 1.3240 eV per atom; magnetization = 0.000 μB per atom
1.0
5.1611 0.0000 0.0000
0.0000 5.1611 0.0000
0.0000 0.0000 5.1611
Sr Sn Pd
1 1 3
Cartesian
0.0000 0.0000 0.0000
2.5805 2.5805 2.5805
0.0000 0.0000 2.5805
0.0000 2.5805 0.0000
2.5805 0.0000 0.0000